DFT (PBE-GGA) results for MnFe4 after structural relaxation.

```
MnFe4
1.0
-1.4932 0.3035 3.8445
-3.6993 -1.2778 -1.3359
1.0899 -3.9214 0.7329
Fe Mn
4 1
Cartesian
-1.3047 -2.5996 -0.3015
-2.5963 -0.4872 1.2543
0.0000 0.0000 0.0000
-0.2017 -1.8089 2.2887
-2.0513 -2.4479 1.6207
```

Results
Total magnetic moment in μB per cell: 7.38
Calculated formation energy in eV/atom: 1.21
Space-group type: Pm-3m, No. 221
DOS at the Fermi energy in states/eV per atom: 1.157



DFT (PBE-GGA) results for Li3GaBi3 after structural relaxation.

```
Li3GaBi3
1.0
7.3875 0.7195 0.3182
-2.6470 6.9344 0.3182
-0.4950 -0.7993 6.7384
Bi Ga Li
6 2 6
Cartesian
3.5824 5.7841 1.7694
3.2875 0.3954 2.0253
-1.1106 3.1193 2.0253
0.9579 6.4592 5.3495
5.3560 3.7352 5.3495
0.6630 1.0704 5.6053
3.8083 6.1489 5.9534
0.4371 0.7057 1.4213
1.9455 3.1412 1.7834
4.9566 2.2250 0.3182
5.7181 1.2004 3.6874
-1.4727 5.6541 3.6874
2.2999 3.7133 5.5913
-0.2161 5.4288 0.3182
```

Results
Total magnetic moment in μB per cell: 0.00
Calculated formation energy in eV/atom: -0.21
Space-group type: C2/m, No. 12
DOS at the Fermi energy in states/eV per atom: 0.379



DFT (PBE-GGA) results for PuPd7Pb3 after structural relaxation.

```
PuPd7Pb3
1.0
5.6059 -0.5706 -0.7307
-3.2834 6.7625 0.5303
-3.2834 -1.1250 6.6893
Pb Pu Pd
3 1 7
Cartesian
2.8029 -0.2853 -0.3653
-3.2834 4.9485 1.9467
-3.2834 0.6890 5.2729
-0.4805 2.5335 3.2445
-0.6529 5.4776 2.7666
-3.2834 2.8188 3.6098
-0.6529 1.3561 5.9849
-0.3081 -0.4107 3.7223
-0.3081 3.7108 0.5040
0.6269 0.8982 1.1503
-1.5879 4.1687 5.3386
```

Results
Total magnetic moment in μB per cell: 5.10
Calculated formation energy in eV/atom: -0.19
Space-group type: C2/m, No. 12
DOS at the Fermi energy in states/eV per atom: 1.778